No. 1
Below is an optimized crystal structure of LiMnTl, with properties calculated at the PBE-GGA level.

The space group is Imm2 (No. 44) and the conventional cell measures 3.183, 4.129 and 8.612 Å, with angles of 90.00, 90.00 and 90.00 degrees. The inequivalent atoms are Li at (0.000, 0.000, 0.000), Mn at (0.000, 0.000, 0.665) and Tl at (0.000, 0.000, 0.333).

Its total energy is -4.26 eV per atom. The value obtained for the offset from the most stable computed form is 1 meV/atom. For the spin magnetization, the calculation gives 4.06 μB per formula unit. The formation energy is 0.228 eV/atom.


No. 2
Below is an optimized crystal structure of Li2MnTl, with properties calculated at the PBE-GGA level.

The space group is P2/m (No. 10) and the conventional cell measures 3.048, 4.746 and 5.201 Å, with angles of 90.00, 97.85 and 90.00 degrees. The inequivalent atoms are Li at (0.233, 0.000, 0.242), Mn at (0.500, 0.500, 0.000) and Tl at (0.000, 0.500, 0.500).

Its total energy is -3.67 eV per atom. For the spin magnetization, the calculation gives 3.77 μB per formula unit. The formation energy is 0.166 eV/atom.


No. 3
Below is an optimized crystal structure of Li2MnTl, with properties calculated at the PBE-GGA level.

The space group is C2/m (No. 12) and the conventional cell measures 5.638, 9.499 and 3.031 Å, with angles of 90.00, 112.59 and 90.00 degrees. The inequivalent atoms are Li at (0.250, 0.250, 0.000), Mn at (0.000, 0.000, 0.500) and Tl at (0.000, 0.500, 0.500).

Its total energy is -3.65 eV per atom. For the spin magnetization, the calculation gives 3.85 μB per formula unit. The formation energy is 0.188 eV/atom.


No. 4
Below is an optimized crystal structure of LiMn2Tl, with properties calculated at the PBE-GGA level.

The space group is F-43m (No. 216) and the conventional cell measures 6.495, 6.495 and 6.495 Å, with angles of 90.00, 90.00 and 90.00 degrees. The inequivalent atoms are Li at (0.000, 0.000, 0.000), Mn at (0.000, 0.000, 0.500), Mn at (0.250, 0.250, 0.750) and Tl at (0.250, 0.250, 0.250).

Its total energy is -5.28 eV per atom. For the spin magnetization, the calculation gives 7.53 μB per formula unit. The formation energy is 0.374 eV/atom.


No. 5
Below is an optimized crystal structure of LiMn2Tl, with properties calculated at the PBE-GGA level.

The space group is R-3m (No. 166, hexagonal axes) and the conventional cell measures 3.0482, 3.0482 and 28.0871 Å, with angles of 90.00, 90.00 and 120.00 degrees. The inequivalent atoms are Li at (0.0000, 0.0000, 0.0000), Mn at (0.0000, 0.0000, 0.2534) and Tl at (0.0000, 0.0000, 0.5000).

Its total energy is -5.07 eV per atom. For the spin magnetization, the calculation gives 7.65 μB per formula unit. The formation energy is 0.588 eV/atom.


No. 6
Below is an optimized crystal structure of Li4MnTl, with properties calculated at the PBE-GGA level.

The space group is F-43m (No. 216) and the conventional cell measures 7.344, 7.344 and 7.344 Å, with angles of 90.00, 90.00 and 90.00 degrees. The inequivalent atoms are Li at (0.125, 0.125, 0.125), Mn at (0.250, 0.250, 0.750) and Tl at (0.000, 0.000, 0.500).

Its total energy is -3.08 eV per atom. For the spin magnetization, the calculation gives 3.73 μB per formula unit. The formation energy is 0.117 eV/atom.


No. 7
Below is an optimized crystal structure of LiMn2Tl, with properties calculated at the PBE-GGA level.

The space group is I4/mmm (No. 139) and the conventional cell measures 3.951, 3.951 and 8.391 Å, with angles of 90.00, 90.00 and 90.00 degrees. The inequivalent atoms are Li at (0.000, 0.000, 0.000), Mn at (0.000, 0.500, 0.250) and Tl at (0.000, 0.000, 0.500).

Its total energy is -5.31 eV per atom. For the spin magnetization, the calculation gives 6.85 μB per formula unit. The formation energy is 0.341 eV/atom.


No. 8
Below is an optimized crystal structure of Li2MnTl, with properties calculated at the PBE-GGA level.

The space group is P4mm (No. 99) and the conventional cell measures 3.392, 3.392 and 6.460 Å, with angles of 90.00, 90.00 and 90.00 degrees. The inequivalent atoms are Li at (0.000, 0.000, 0.000), Li at (0.500, 0.500, 0.244), Mn at (0.000, 0.000, 0.476) and Tl at (0.500, 0.500, 0.742).

Its total energy is -3.67 eV per atom. For the spin magnetization, the calculation gives 4.03 μB per formula unit. The formation energy is 0.170 eV/atom.


No. 9
Below is an optimized crystal structure of LiMnTl2, with properties calculated at the PBE-GGA level.

The space group is I-42d (No. 122) and the conventional cell measures 4.500, 4.500 and 19.159 Å, with angles of 90.00, 90.00 and 90.00 degrees. The inequivalent atoms are Li at (0.000, 0.000, 0.000), Mn at (0.000, 0.000, 0.500) and Tl at (0.249, 0.250, 0.625).

Its total energy is -3.58 eV per atom. The value obtained for the offset from the most stable computed form is 255 meV/atom. For the spin magnetization, the calculation gives 3.89 μB per formula unit. The formation energy is 0.376 eV/atom.


No. 10
Below is an optimized crystal structure of LiMn2Tl, with properties calculated at the PBE-GGA level.

The space group is C2/m (No. 12) and the conventional cell measures 5.488, 9.587 and 2.973 Å, with angles of 90.00, 116.75 and 90.00 degrees. The inequivalent atoms are Li at (0.000, 0.000, 0.000), Mn at (0.250, 0.250, 0.500) and Tl at (0.000, 0.500, 0.000).

Its total energy is -5.23 eV per atom. For the spin magnetization, the calculation gives 7.33 μB per formula unit. The formation energy is 0.427 eV/atom.


No. 11
Below is an optimized crystal structure of LiMnTl2, with properties calculated at the PBE-GGA level.

The space group is F-43m (No. 216) and the conventional cell measures 7.126, 7.126 and 7.126 Å, with angles of 90.00, 90.00 and 90.00 degrees. The inequivalent atoms are Li at (0.000, 0.000, 0.000), Mn at (0.250, 0.250, 0.250), Tl at (0.000, 0.000, 0.500) and Tl at (0.250, 0.250, 0.750).

Its total energy is -3.63 eV per atom. The value obtained for the offset from the most stable computed form is 201 meV/atom. For the spin magnetization, the calculation gives 4.18 μB per formula unit. The formation energy is 0.322 eV/atom.


No. 12
Below is an optimized crystal structure of LiMn2Tl, with properties calculated at the PBE-GGA level.

The space group is P4/mmm (No. 123) and the conventional cell measures 3.969, 3.969 and 4.166 Å, with angles of 90.00, 90.00 and 90.00 degrees. The inequivalent atoms are Li at (0.000, 0.000, 0.000), Mn at (0.000, 0.500, 0.500) and Tl at (0.500, 0.500, 0.000).

Its total energy is -5.33 eV per atom. For the spin magnetization, the calculation gives 6.85 μB per formula unit. The formation energy is 0.326 eV/atom.


Question: Number 2 is which compound?
Answer: Li2MnTl


Question: spin magnetization of number 8 (Li2MnTl)?
Answer: 4.03 μB per formula unit


Please write out number 7 again, unchanged.
Below is an optimized crystal structure of LiMn2Tl, with properties calculated at the PBE-GGA level.

The space group is I4/mmm (No. 139) and the conventional cell measures 3.951, 3.951 and 8.391 Å, with angles of 90.00, 90.00 and 90.00 degrees. The inequivalent atoms are Li at (0.000, 0.000, 0.000), Mn at (0.000, 0.500, 0.250) and Tl at (0.000, 0.000, 0.500).

Its total energy is -5.31 eV per atom. For the spin magnetization, the calculation gives 6.85 μB per formula unit. The formation energy is 0.341 eV/atom.


Question: Look up the formation energy of the sixth one.
Answer: 0.117 eV/atom